Record 1
HfTlFeAg: relaxed, PBE.

The structure in POSCAR format:
```
HfTlFeAg
1.0
0.0000 3.3159 3.3159
3.3159 0.0000 3.3159
3.3159 3.3159 0.0000
Ag Tl Hf Fe
1 1 1 1
Direct
0.2500 0.2500 0.2500
0.0000 0.0000 0.0000
0.5000 0.5000 0.5000
0.7500 0.7500 0.7500
```

Properties
- raw total energy (eV/f.u.) = -22.50

=====

Record 2
FeAg2Hg: relaxed, PBE.

The structure in POSCAR format:
```
FeAg2Hg
1.0
1.3051 -3.1253 3.1575
-1.9274 0.0185 4.2102
-2.8985 -3.3935 1.2343
Fe Hg Ag
1 1 2
Direct
0.2500 0.2500 0.2500
0.5000 0.5000 0.5000
0.0000 0.0000 0.0000
0.7500 0.7500 0.7500
```

Properties
- energy of formation from the pure elements (meV/atom) = 338

=====

Record 3
InFeAgHg: relaxed, PBE.

The structure in POSCAR format:
```
InFeAgHg
1.0
0.0000 3.3392 3.3392
3.3392 0.0000 3.3392
3.3392 3.3392 0.0000
In Fe Ag Hg
1 1 1 1
Direct
0.0000 0.0000 0.0000
0.7500 0.7500 0.7500
0.2500 0.2500 0.2500
0.5000 0.5000 0.5000
```

Properties
- raw total energy (eV/f.u.) = -12.94

=====

Record 4
FeAgHgPb: relaxed, PBE.

The structure in POSCAR format:
```
FeAgHgPb
1.0
0.0000 3.3732 3.3732
3.3732 0.0000 3.3732
3.3732 3.3732 0.0000
Pb Ag Hg Fe
1 1 1 1
Direct
0.0000 0.0000 0.0000
0.2500 0.2500 0.2500
0.5000 0.5000 0.5000
0.7500 0.7500 0.7500
```

Properties
- raw total energy (eV/f.u.) = -13.30

=====

Record 5
FeSiAgHg: relaxed, PBE.

The structure in POSCAR format:
```
FeSiAgHg
1.0
0.0000 3.2237 3.2237
3.2237 0.0000 3.2237
3.2237 3.2237 0.0000
Hg Fe Ag Si
1 1 1 1
Direct
0.2500 0.2500 0.2500
0.7500 0.7500 0.7500
0.5000 0.5000 0.5000
0.0000 0.0000 0.0000
```

Properties
- raw total energy (eV/f.u.) = -14.82

=====

Record 6
FeSiAgHg: relaxed, PBE.

The structure in POSCAR format:
```
FeSiAgHg
1.0
0.0000 3.2066 3.2066
3.2066 0.0000 3.2066
3.2066 3.2066 0.0000
Fe Si Hg Ag
1 1 1 1
Direct
0.7500 0.7500 0.7500
0.0000 0.0000 0.0000
0.5000 0.5000 0.5000
0.2500 0.2500 0.2500
```

Properties
- raw total energy (eV/f.u.) = -15.02